# 1
Entry from Alexandria via LeMat-Bulk: La2Cu5Si3 after structural relaxation (PBE).

Cell lengths 8.248, 8.248, 5.967 Å; angles 111.10, 111.10, 92.19 degrees
Atoms (fractional coordinates):
La (0.123, 0.373, 0.248)
La (0.373, 0.123, 0.748)
La (0.627, 0.877, 0.252)
La (0.877, 0.627, 0.752)
Cu (0.004, 0.244, 0.625)
Cu (0.244, 0.004, 0.125)
Cu (0.259, 0.741, 0.750)
Cu (0.260, 0.740, 0.250)
Cu (0.500, 0.500, 0.250)
Cu (0.500, 0.500, 0.750)
Cu (0.740, 0.260, 0.750)
Cu (0.741, 0.259, 0.250)
Cu (0.756, 0.996, 0.875)
Cu (0.996, 0.756, 0.375)
Si (0.000, 0.000, 0.250)
Si (0.000, 0.000, 0.750)
Si (0.243, 0.493, 0.867)
Si (0.493, 0.243, 0.367)
Si (0.507, 0.757, 0.633)
Si (0.757, 0.507, 0.133)

Summary:
Total energy   -5.12 eV/atom
Crystal system   monoclinic
Energy relative to the elements, uncorrected   -0.463 eV per atom
M_tot   0.00 μB per formula unit


# 2
Entry from Alexandria via LeMat-Bulk: Sn3GeAs after structural relaxation (PBE).

Cell lengths 5.316, 5.316, 5.316 Å; angles 90.00, 90.00, 90.00 degrees
Atoms (fractional coordinates):
Sn (0.000, 0.000, 0.500)
Sn (0.000, 0.500, 0.000)
Sn (0.500, 0.000, 0.000)
Ge (0.000, 0.000, 0.000)
As (0.500, 0.500, 0.500)

Summary:
ΔE_f   601.3 meV per atom
Total energy   -3.65 eV/atom
Crystal system   cubic
M_tot   0.00 μB per formula unit


# 3
Entry from Alexandria via LeMat-Bulk: InFePt2 after structural relaxation (PBE).

Cell lengths 8.953, 8.953, 8.953 Å; angles 18.88, 18.88, 18.88 degrees
Atoms (fractional coordinates):
In (0.000, 0.000, 0.000)
Fe (0.500, 0.500, 0.500)
Pt (0.244, 0.244, 0.244)
Pt (0.756, 0.756, 0.756)

Summary:
ΔE_f   -79.6 meV per atom
Total energy   -5.90 eV/atom
Crystal system   trigonal
M_tot   3.32 μB per formula unit


# 4
Entry from Alexandria via LeMat-Bulk: Pu3Ga3Tc2 after structural relaxation (PBE).

Cell lengths 6.786, 6.786, 4.086 Å; angles 90.00, 90.00, 120.00 degrees
Atoms (fractional coordinates):
Pu (0.000, 0.592, 0.000)
Pu (0.408, 0.408, 0.000)
Pu (0.592, 0.000, 0.000)
Ga (0.000, 0.232, 0.500)
Ga (0.232, 0.000, 0.500)
Ga (0.768, 0.768, 0.500)
Tc (0.333, 0.667, 0.500)
Tc (0.667, 0.333, 0.500)

Summary:
ΔE_f   -169.3 meV per atom
Total energy   -9.27 eV/atom
Crystal system   hexagonal
M_tot   14.78 μB per formula unit


# 5
Entry from Alexandria via LeMat-Bulk: NaSrP2S after structural relaxation (PBE).

Cell lengths 5.654, 5.654, 5.581 Å; angles 90.00, 90.00, 90.00 degrees
Atoms (fractional coordinates):
Na (0.000, 0.000, 0.000)
Sr (0.500, 0.500, 0.500)
P (0.000, 0.500, 0.500)
P (0.500, 0.000, 0.500)
S (0.500, 0.500, 0.000)

Summary:
Total energy   -3.09 eV/atom
Crystal system   tetragonal
Energy relative to the elements, uncorrected   0.500 eV per atom
M_tot   1.66 μB per formula unit


# 6
Entry from Alexandria via LeMat-Bulk: Be2Te after structural relaxation (PBE).

Cell lengths 3.425, 3.425, 8.718 Å; angles 90.00, 90.00, 90.00 degrees
Atoms (fractional coordinates):
Be (0.250, 0.250, 0.181)
Be (0.250, 0.750, 0.000)
Be (0.750, 0.250, 0.000)
Be (0.750, 0.750, 0.819)
Te (0.250, 0.250, 0.707)
Te (0.750, 0.750, 0.293)

Summary:
Total energy   -3.14 eV/atom
Crystal system   tetragonal
Energy relative to the elements, uncorrected   0.389 eV per atom
M_tot   0.00 μB per formula unit


# 7
Entry from Alexandria via LeMat-Bulk: Cd4I3O2 after structural relaxation (PBE).

Cell lengths 9.781, 9.781, 7.394 Å; angles 98.97, 98.97, 22.30 degrees
Atoms (fractional coordinates):
Cd (0.140, 0.140, 0.213)
Cd (0.290, 0.290, 0.166)
Cd (0.710, 0.710, 0.834)
Cd (0.860, 0.860, 0.787)
I (0.000, 0.000, 0.000)
I (0.394, 0.394, 0.480)
I (0.606, 0.606, 0.520)
O (0.293, 0.293, 0.865)
O (0.707, 0.707, 0.135)

Summary:
Total energy   -2.57 eV/atom
Crystal system   monoclinic
Energy relative to the elements, uncorrected   -0.543 eV per atom
M_tot   0.00 μB per formula unit


# 8
Entry from Alexandria via LeMat-Bulk: ScTcMo2Cl after structural relaxation (PBE).

Cell lengths 4.404, 4.404, 4.573 Å; angles 90.00, 90.00, 90.00 degrees
Atoms (fractional coordinates):
Sc (0.000, 0.000, 0.000)
Tc (0.500, 0.500, 0.000)
Mo (0.000, 0.500, 0.500)
Mo (0.500, 0.000, 0.500)
Cl (0.000, 0.000, 0.500)

Summary:
Total energy   -7.17 eV/atom
Crystal system   tetragonal
Energy relative to the elements, uncorrected   0.868 eV per atom
M_tot   0.70 μB per formula unit